(1)
Below is an optimized crystal structure of Tb2Y3Tm, with properties calculated at the PBE level.

abc: 9.4080 9.4080 6.1476
angles: 90.10 90.10 44.41
Sites, in units of the cell vectors:
Tb 0.0411 0.2914 0.4166
Tb 0.2914 0.0411 0.9166
Tb 0.7086 0.9589 0.0834
Tb 0.9589 0.7086 0.5834
Y 0.1254 0.8746 0.2500
Y 0.2092 0.4589 0.0823
Y 0.4589 0.2092 0.5823
Y 0.5411 0.7908 0.4177
Y 0.7908 0.5411 0.9177
Y 0.8746 0.1254 0.7500
Tm 0.3753 0.6247 0.7500
Tm 0.6247 0.3753 0.2500

- N(E_F): 8.869 states/eV/f.u.
- Formation energy from the elements: 0.024 eV per atom
- Theoretical density: 6.6 g/cm³
- Space-group type: C2/c
- M_tot: 0.0 μB per formula unit
- Offset from the most stable computed form: 0 meV per atom

***

(2)
Below is an optimized crystal structure of AlCu2CI, with properties calculated at the PBE level.

abc: 4.5173 4.5173 5.9998
angles: 90.00 90.00 90.00
Sites, in units of the cell vectors:
Al 0.0000 0.0000 0.0000
Cu 0.0000 0.5000 0.0000
Cu 0.5000 0.0000 0.0000
C 0.5000 0.5000 0.5000
I 0.0000 0.0000 0.5000

- N(E_F): 3.028 states/eV/f.u.
- Theoretical density: 4.0 g/cm³
- Space-group type: P4/mmm
- DFT total energy: -2.6637 eV/atom
- M_tot: 1.6 μB per formula unit

***

(3)
Below is an optimized crystal structure of AlIn2BAu, with properties calculated at the PBE level.

abc: 5.5281 5.5281 4.0196
angles: 90.00 90.00 90.00
Sites, in units of the cell vectors:
Al 0.0000 0.0000 0.0000
In 0.0000 0.5000 0.0000
In 0.5000 0.0000 0.0000
B 0.0000 0.0000 0.5000
Au 0.5000 0.5000 0.5000

- N(E_F): 2.395 states/eV/f.u.
- Formation energy from the elements: 0.730 eV per atom
- Theoretical density: 6.3 g/cm³
- Space-group type: P4/mmm
- M_tot: 0.0 μB per formula unit

***

(4)
Below is an optimized crystal structure of PrSc2Tl, with properties calculated at the PBE level.

abc: 6.4844 6.4844 7.7139
angles: 90.00 90.00 136.83
Sites, in units of the cell vectors:
Pr 0.0591 0.9409 0.7500
Pr 0.9409 0.0591 0.2500
Sc 0.3685 0.6315 0.5442
Sc 0.3685 0.6315 0.9558
Sc 0.6315 0.3685 0.0442
Sc 0.6315 0.3685 0.4558
Tl 0.2150 0.7850 0.2500
Tl 0.7850 0.2150 0.7500

- N(E_F): 5.350 states/eV/f.u.
- Formation energy from the elements: -0.124 eV per atom
- Theoretical density: 6.5 g/cm³
- Space-group type: Cmcm
- M_tot: 0.0 μB per formula unit
- Offset from the most stable computed form: 32 meV per atom

***

(5)
Below is an optimized crystal structure of LaInGePd, with properties calculated at the PBE level.

abc: 5.0275 5.0275 5.0275
angles: 60.00 60.00 60.00
Sites, in units of the cell vectors:
La 0.0000 0.0000 0.0000
In 0.5000 0.5000 0.5000
Ge 0.2500 0.2500 0.2500
Pd 0.7500 0.7500 0.7500

- N(E_F): 1.987 states/eV/f.u.
- Formation energy from the elements: -0.558 eV per atom
- Theoretical density: 8.0 g/cm³
- Space-group type: F-43m
- M_tot: 0.0 μB per formula unit

***

(6)
Below is an optimized crystal structure of Ho8Er2Pu, with properties calculated at the PBE level.

abc: 8.7628 8.7628 6.6223
angles: 100.84 100.84 43.78
Sites, in units of the cell vectors:
Ho 0.0914 0.0914 0.9114
Ho 0.1551 0.6764 0.6040
Ho 0.3038 0.3038 0.2000
Ho 0.3236 0.8449 0.3960
Ho 0.6764 0.1551 0.6040
Ho 0.6962 0.6962 0.8000
Ho 0.8449 0.3236 0.3960
Ho 0.9086 0.9086 0.0886
Er 0.2557 0.2557 0.6859
Er 0.7443 0.7443 0.3141
Pu 0.5000 0.5000 0.0000

- N(E_F): 19.968 states/eV/f.u.
- Formation energy from the elements: 0.204 eV per atom
- Theoretical density: 9.1 g/cm³
- Space-group type: C2/m
- M_tot: 6.2 μB per formula unit
- Offset from the most stable computed form: 77 meV per atom

***

(7)
Below is an optimized crystal structure of Ta3BeIr, with properties calculated at the PBE level.

abc: 2.8510 9.1103 6.1643
angles: 90.00 95.87 90.00
Sites, in units of the cell vectors:
Ta 0.0015 0.2500 0.4983
Ta 0.3008 0.0014 0.7464
Ta 0.3008 0.4986 0.7464
Ta 0.6992 0.5014 0.2536
Ta 0.6992 0.9986 0.2536
Ta 0.9985 0.7500 0.5017
Be 0.3163 0.7500 0.1701
Be 0.6837 0.2500 0.8299
Ir 0.2542 0.2500 0.1049
Ir 0.7458 0.7500 0.8951

- N(E_F): 3.603 states/eV/f.u.
- Formation energy from the elements: -0.062 eV per atom
- Theoretical density: 15.5 g/cm³
- Space-group type: P2_1/m
- M_tot: 0.0 μB per formula unit
- Offset from the most stable computed form: 0 meV per atom

***

(8)
Below is an optimized crystal structure of K2TaMo, with properties calculated at the PBE level.

abc: 6.9297 6.9297 2.7838
angles: 90.00 90.00 133.18
Sites, in units of the cell vectors:
K 0.0000 0.5000 0.0000
K 0.5000 0.0000 0.0000
Ta 0.0000 0.0000 0.5000
Mo 0.5000 0.5000 0.5000

- N(E_F): 5.587 states/eV/f.u.
- Formation energy from the elements: 1.524 eV per atom
- Theoretical density: 6.0 g/cm³
- Space-group type: Cmmm
- M_tot: 0.4 μB per formula unit
- Offset from the most stable computed form: 749 meV per atom

***

(9)
Below is an optimized crystal structure of NiPtCl, with properties calculated at the PBE level.

abc: 2.9977 2.9977 6.6261
angles: 90.00 90.00 120.00
Sites, in units of the cell vectors:
Ni 0.0000 0.0000 0.0000
Pt 0.3333 0.6667 0.2892
Cl 0.6667 0.3333 0.7729

- N(E_F): 1.611 states/eV/f.u.
- Theoretical density: 9.3 g/cm³
- Space-group type: P3m1
- M_tot: 1.9 μB per formula unit
- Offset from the most stable computed form: 168 meV per atom

***

(10)
Below is an optimized crystal structure of LiYFe, with properties calculated at the PBE level.

abc: 4.6335 4.6335 4.6335
angles: 60.00 60.00 60.00
Sites, in units of the cell vectors:
Li 0.0000 0.0000 0.0000
Y 0.2500 0.2500 0.2500
Fe 0.5000 0.5000 0.5000

- N(E_F): 6.045 states/eV/f.u.
- Formation energy from the elements: 0.955 eV per atom
- Theoretical density: 3.6 g/cm³
- Space-group type: F-43m
- M_tot: 1.8 μB per formula unit
- Offset from the most stable computed form: 921 meV per atom

***

(11)
Below is an optimized crystal structure of Ho3ErTh2Bi6, with properties calculated at the PBE level.

abc: 10.0708 10.0708 9.0010
angles: 102.82 102.82 25.91
Sites, in units of the cell vectors:
Ho 0.0000 0.0000 0.0000
Ho 0.3322 0.3322 0.6656
Ho 0.6678 0.6678 0.3344
Er 0.0000 0.0000 0.5000
Th 0.3352 0.3352 0.1688
Th 0.6648 0.6648 0.8312
Bi 0.1648 0.1648 0.0894
Bi 0.1657 0.1657 0.5754
Bi 0.4966 0.4966 0.7475
Bi 0.5034 0.5034 0.2525
Bi 0.8343 0.8343 0.4246
Bi 0.8352 0.8352 0.9106

- N(E_F): 4.842 states/eV/f.u.
- Formation energy from the elements: -0.741 eV per atom
- Theoretical density: 10.2 g/cm³
- Space-group type: C2/m
- M_tot: 0.0 μB per formula unit

***

(12)
Below is an optimized crystal structure of Ac2CdSb3Pt4, with properties calculated at the PBE level.

abc: 4.6703 4.6703 10.9261
angles: 90.00 90.00 90.00
Sites, in units of the cell vectors:
Ac 0.0000 0.5000 0.2390
Ac 0.5000 0.0000 0.7610
Cd 0.0000 0.0000 0.5000
Sb 0.0000 0.5000 0.8729
Sb 0.5000 0.0000 0.1271
Sb 0.5000 0.5000 0.5000
Pt 0.0000 0.0000 0.0000
Pt 0.0000 0.5000 0.6333
Pt 0.5000 0.0000 0.3667
Pt 0.5000 0.5000 0.0000

- N(E_F): 5.903 states/eV/f.u.
- Theoretical density: 11.9 g/cm³
- Space-group type: P-4m2
- DFT total energy: -5.4322 eV/atom
- M_tot: 0.0 μB per formula unit